# PmPrSCl PBE-GGA optimized geometry
data_PmPrSCl
_symmetry_space_group_name_H-M 'C 1 m 1'
_symmetry_Int_Tables_number 8
_cell_length_a 6.798
_cell_length_b 3.928
_cell_length_c 7.845
_cell_angle_alpha 90.00
_cell_angle_beta 106.74
_cell_angle_gamma 90.00
loop_
_symmetry_equiv_pos_as_xyz
'x,y,z'
'x,-y,z'
'x+1/2,y+1/2,z'
'x+1/2,-y+1/2,z'
loop_
_atom_site_label
_atom_site_fract_x
_atom_site_fract_y
_atom_site_fract_z
_atom_site_occupancy
Pm1 0.000 0.000 0.000 1
Pr1 0.192 0.000 0.575 1
S1 0.097 0.500 0.790 1
Cl1 0.424 0.000 0.274 1
# * VASP energy: -5.5458 eV/atom
# * ΔE_f (raw): -1.670 eV per atom